(1)
This record from the Alexandria database describes a geometry-optimized K2TlHg8 structure. The functional is PBE.

As for the energy above the most stable polymorph in this dataset: 0 meV per atom.

```
K2TlHg8
1.0
-3.7653 4.1347 -0.9371
-4.3096 -1.8642 5.8898
10.6848 3.0886 0.7139
K Tl Hg
2 1 8
Cartesian
-1.5628 2.2649 3.2299
4.1726 3.0942 2.4367
-1.8827 2.0673 -0.4685
1.4847 0.8660 1.8649
3.4547 5.8598 0.3786
-4.5324 2.8784 1.1683
0.9757 3.6882 0.6725
1.6342 1.6708 4.9942
7.1423 2.4807 4.4983
-0.8449 -0.5007 5.2880
1.1252 4.4931 3.8017
```



(2)
This record from the Alexandria database describes a geometry-optimized KTl2Hg structure. The functional is PBE.

As for the energy above the most stable polymorph in this dataset: 33 meV per atom.

```
KTl2Hg
1.0
-2.4798 -1.7411 2.4411
2.9364 -0.7925 2.4267
-1.2877 7.4128 3.9790
K Tl Hg
1 2 1
Cartesian
-0.7374 4.2928 5.4181
-0.0619 0.3565 0.1914
-0.5819 3.3499 1.7981
-0.0936 0.5864 3.4286
```



(3)
This record from the Alexandria database describes a geometry-optimized KTl2Hg structure. The functional is PBE.

As for the energy above the most stable polymorph in this dataset: 48 meV per atom.

```
KTl2Hg
1.0
4.6594 0.0000 0.0000
0.0000 5.0803 0.0000
0.0000 0.0000 5.4303
K Tl Hg
1 2 1
Cartesian
0.0000 2.5401 2.7152
0.0000 0.0000 0.0000
2.3297 2.5401 0.0000
2.3297 0.0000 2.7152
```



(4)
This record from the Alexandria database describes a geometry-optimized K3TlHg2 structure. The functional is PBE.

As for the energy above the most stable polymorph in this dataset: 27 meV per atom.

```
K3TlHg2
1.0
-0.5268 0.5632 8.3859
-0.9058 -7.8644 2.8723
7.5080 -2.3189 3.0283
K Tl Hg
6 2 4
Cartesian
5.3386 -2.1034 6.0417
2.4590 -6.8368 4.0789
-0.2032 -3.0848 7.7375
0.7369 -7.5166 8.2449
3.6165 -2.7831 10.2076
6.2787 -6.5352 6.5490
3.0377 -4.8100 7.1433
0.0000 0.0000 0.0000
2.0305 -3.2150 4.7746
1.0073 -1.5950 2.3687
5.0682 -8.0250 11.9179
4.0450 -6.4050 9.5119
```



(5)
This record from the Alexandria database describes a geometry-optimized KTl8Hg2 structure. The functional is PBE.

As for the energy above the most stable polymorph in this dataset: 139 meV per atom.

```
KTl8Hg2
1.0
-4.7006 -4.3608 -0.9248
4.3422 -4.7832 0.4839
-1.6139 -0.4301 10.2311
K Tl Hg
1 8 2
Cartesian
-0.9862 -4.7870 4.8951
-0.6200 -6.9727 1.8888
-3.7247 -4.8021 7.4347
-1.5333 -7.2161 7.6789
-2.8113 -4.5587 1.6446
1.7523 -4.7719 2.3555
0.8390 -5.0153 8.1456
-0.4390 -2.3580 2.1113
-1.3524 -2.6014 7.9014
-2.3503 -2.1804 -0.4624
2.1711 -2.3916 0.2419
```



(6)
This record from the Alexandria database describes a geometry-optimized KTlHg structure. The functional is PBE.

As for the energy above the most stable polymorph in this dataset: 0 meV per atom.

```
KTlHg
1.0
-0.3919 -3.8780 -3.5521
5.7001 -0.3731 -4.1362
2.7168 -5.6517 1.9559
K Tl Hg
2 2 2
Cartesian
2.6816 -6.1628 -1.3968
5.3434 -3.7400 -4.3356
2.9464 -2.2500 -1.7832
5.0787 -7.6527 -3.9492
1.1454 -3.9082 -3.6887
6.8796 -5.9945 -2.0437
```



Number 1: energy of formation -163 kJ/mol of formula units. Number 2: energy of formation -33 kJ/mol of formula units. Number 3: energy of formation -28 kJ/mol of formula units. Number 4: energy of formation -81 kJ/mol of formula units. Number 5: energy of formation 121 kJ/mol of formula units. Number 6: energy of formation -58 kJ/mol of formula units.